[1]
BeCu2Ag: relaxed, PBE.

Summary:
Formation energy from the elements, eV per formula unit: 0.5

Unit cell a=3.758 b=2.737 c=5.175 alpha=72.72 beta=90.00 gamma=90.00
Fractional positions:
Be 0.500 0.750 0.750
Ag 0.500 0.250 0.250
Cu 0.000 0.580 0.534
Cu 0.000 0.920 0.966

***

[2]
Ca2ScMo: relaxed, PBE.

Summary:
Energy above the most stable polymorph in this dataset, meV/atom: 321
Formation energy from the elements, eV per formula unit: 2.6

Unit cell a=4.474 b=4.479 c=5.000 alpha=90.00 beta=90.00 gamma=90.00
Last column: magnetic moment on the atom in μB.
Fractional positions:
Ca 0.000 0.000 0.000  -0.01
Ca 0.500 0.500 0.000  -0.01
Mo 0.500 0.000 0.500  0.51
Sc 0.000 0.500 0.500  -0.05

***

[3]
MgScP: relaxed, PBE.

Summary:
Formation energy from the elements, eV per formula unit: -1.5

Unit cell a=6.071 b=6.071 c=6.071 alpha=147.19 beta=150.44 gamma=44.74
Fractional positions:
P 0.324 0.324 0.000
Sc 0.700 0.700 0.000
Mg 0.976 0.976 0.000

***

[4]
CaTi3Fe: relaxed, PBE.

Summary:
Energy above the most stable polymorph in this dataset, meV/atom: 0
Formation energy from the elements, eV per formula unit: 1.3

Unit cell a=4.650 b=4.650 c=4.650 alpha=90.00 beta=90.00 gamma=90.00
Fractional positions:
Ti 0.500 0.000 0.000
Ti 0.000 0.000 0.500
Fe 0.000 0.000 0.000
Ca 0.500 0.500 0.500
Ti 0.000 0.500 0.000

***

[5]
Nd4Pt3Rh: relaxed, PBE.

Summary:
Formation energy from the elements, eV per formula unit: -8.3

Unit cell a=3.922 b=4.511 c=10.895 alpha=90.00 beta=90.00 gamma=90.00
Fractional positions:
Pt 0.000 0.000 0.414
Nd 0.000 0.500 0.865
Pt 0.000 0.500 0.587
Nd 0.500 0.000 0.637
Rh 0.500 0.500 0.089
Nd 0.500 0.500 0.356
Pt 0.500 0.000 0.915
Nd 0.000 0.000 0.137

***

[6]
Ta2Ru: relaxed, PBE.

Summary:
Formation energy from the elements, eV per formula unit: -0.8

Unit cell a=3.223 b=3.223 c=9.668 alpha=90.00 beta=90.00 gamma=90.00
Fractional positions:
Ta 0.500 0.500 0.329
Ru 0.000 0.000 0.842
Ta 0.500 0.500 0.000
Ru 0.000 0.000 0.158
Ta 0.000 0.000 0.500
Ta 0.500 0.500 0.671

***

[7]
PmAgPb: relaxed, PBE.

Summary:
Energy above the most stable polymorph in this dataset, meV/atom: 0
Formation energy from the elements, eV per formula unit: -1.2

Unit cell a=4.913 b=4.913 c=4.913 alpha=60.00 beta=60.00 gamma=60.00
Fractional positions:
Ag 0.250 0.250 0.250
Pb 0.500 0.500 0.500
Pm 0.000 0.000 0.000

***

[8]
HgPtCl2: relaxed, PBE.

Summary:
Energy above the most stable polymorph in this dataset, meV/atom: 699

Unit cell a=4.838 b=4.838 c=4.838 alpha=60.00 beta=60.00 gamma=60.00
Fractional positions:
Pt 0.000 0.000 0.000
Hg 0.500 0.500 0.500
Cl 0.750 0.750 0.750
Cl 0.250 0.250 0.250

***

Fermi-level density of states list, top to bottom, in states/eV per cell: 1.1, 5.3, 1.8, 8.2, 5.4, 5.0, 0.7, 4.0
Mass density list, top to bottom, in g/cm3: 7.97, 3.66, 2.79, 3.96, 10.90, 15.31, 9.11, 9.68
Calculated total energy list, top to bottom, in eV/atom: -3.5630, -4.6299, -4.9341, -6.5733, -6.6045, -11.2690, -4.1787, -2.0338